Entry 1:
Density functional theory data (PBE-GGA) for an optimized crystal structure of TlZnBi2.

Lattice parameters (Å, degrees): 3.7880 3.7880 7.9599 90.00 90.00 90.00
Sites, in units of the cell vectors:
Bi  0.0000  0.0000  0.2010
Bi  0.0000  0.0000  0.7990
Zn  0.5000  0.5000  0.0000
Tl  0.5000  0.5000  0.5000

Properties
Space-group type ... P4/mmm (123)
Energy relative to the elements ... 0.093 eV per atom



Entry 2:
Density functional theory data (PBE-GGA) for an optimized crystal structure of CuRhAu2.

Lattice parameters (Å, degrees): 2.8195 2.8195 7.8547 90.00 90.00 90.00
Sites, in units of the cell vectors:
Rh  0.5000  0.5000  0.7500
Au  0.0000  0.0000  0.4886
Au  0.0000  0.0000  0.0114
Cu  0.5000  0.5000  0.2500

Properties
Space-group type ... P4/mmm (123)
Energy above the most stable polymorph in this dataset ... 0.022 eV per atom
Energy relative to the elements ... 0.084 eV per atom



Entry 3:
Density functional theory data (PBE-GGA) for an optimized crystal structure of SmGa4Cu6.

Lattice parameters (Å, degrees): 4.0657 6.9200 6.9200 120.00 90.00 90.00
Sites, in units of the cell vectors:
Ga  0.5000  0.8037  0.1963
Ga  0.0000  0.3333  0.6667
Ga  0.5000  0.8037  0.6074
Ga  0.5000  0.3926  0.1963
Cu  0.0000  0.5401  0.4599
Cu  0.0000  0.5401  0.0802
Cu  0.0000  0.9198  0.4599
Cu  0.5000  0.2098  0.7902
Cu  0.5000  0.2098  0.4195
Cu  0.5000  0.5805  0.7902
Sm  0.0000  0.0000  0.0000

Properties
Space-group type ... P-6m2 (187)
Energy relative to the elements ... -0.249 eV per atom



Entry 4:
Density functional theory data (PBE-GGA) for an optimized crystal structure of Th2GaGe.

Lattice parameters (Å, degrees): 4.8483 4.8483 5.9283 65.86 65.86 60.00
Sites, in units of the cell vectors:
Ga  0.0000  0.0000  0.0000
Th  0.2478  0.2478  0.2565
Th  0.7522  0.7522  0.7435
Ge  0.5000  0.5000  0.5000

Properties
Space-group type ... R-3m (166)
Energy relative to the elements ... -0.469 eV per atom



Entry 5:
Density functional theory data (PBE-GGA) for an optimized crystal structure of ThP2Ir5Rh.

Lattice parameters (Å, degrees): 3.9887 3.9887 10.3661 90.00 90.00 90.00
Sites, in units of the cell vectors:
Ir  0.5000  0.5000  0.5000
Ir  0.5000  0.0000  0.1655
Ir  0.0000  0.5000  0.8345
Ir  0.0000  0.5000  0.1655
Ir  0.5000  0.0000  0.8345
Th  0.0000  0.0000  0.5000
P  0.5000  0.5000  0.7233
P  0.5000  0.5000  0.2767
Rh  0.0000  0.0000  0.0000

Properties
Space-group type ... P4/mmm (123)
Energy relative to the elements ... -0.336 eV per atom



Entry 6:
Density functional theory data (PBE-GGA) for an optimized crystal structure of YCr2Cl.

Lattice parameters (Å, degrees): 7.9607 7.9607 6.2874 50.72 50.72 90.00
Sites, in units of the cell vectors:
Cr  0.1780  0.6250  0.2500
Cr  0.5720  0.1250  0.2500
Cr  0.8750  0.8220  0.7500
Cr  0.3750  0.4280  0.7500
Cl  0.5000  0.5000  0.0000
Cl  0.2500  0.7500  0.5000
Y  0.7500  0.2500  0.5000
Y  0.0000  0.0000  0.0000

Properties
Space-group type ... I-42d (122)
Energy above the most stable polymorph in this dataset ... 0.544 eV per atom
ΔE_f (raw) ... 0.408 eV/atom



| no. | raw total energy (eV/cell) |
| --- | --- |
| 1 | -11.0 |
| 2 | -17.7 |
| 3 | -44.1 |
| 4 | -24.4 |
| 5 | -72.9 |
| 6 | -51.9 |